[1]
DFT (GGA-PBE) results for an optimized crystal structure of Pm2Dy4In.

Calculated values
- ΔH_f (0 K) (kJ/mol of formula units) = -46.0

a b c (Å): 3.6245 3.6245 58.6052
angles (deg): 90.00 90.00 120.00
Space group R-3m (No. 166, hexagonal axes)
Inequivalent atoms, fractional coordinates:
Pm1 0.0000 0.0000 0.1926 x6
Dy1 0.0000 0.0000 0.0913 x6
Dy2 0.0000 0.0000 0.2907 x6
In1 0.0000 0.0000 0.0000 x3



[2]
DFT (GGA-PBE) results for an optimized crystal structure of PaTcGeH2.

Calculated values
- E (eV per atom) = -6.699

a b c (Å): 4.101 10.218 5.879
angles (deg): 90.00 90.00 90.00
Space group Cmcm (No. 63)
Inequivalent atoms, fractional coordinates:
Pa1 0.000 0.201 0.250 x4
Tc1 0.000 0.500 0.000 x4
Ge1 0.000 0.088 0.750 x4
H1 0.000 0.330 0.570 x8



Size of the total moment list, top to bottom, in μB per formula unit: 0.0, 0.0